(1)
DFT (PBE-GGA) results for a relaxed structure of BaZrBi3.

Lattice parameters (Å, degrees): 5.7560 5.7560 5.7560 90.00 90.00 90.00
Closest atoms and distances in Å follow each position.
Fractional coordinates of all 5 atoms:
Ba 0.0000 0.0000 0.0000  12 Bi 4.07
Zr 0.5000 0.5000 0.5000  6 Bi 2.88
Bi 0.0000 0.5000 0.5000  2 Zr 2.88
Bi 0.5000 0.0000 0.5000  2 Zr 2.88
Bi 0.5000 0.5000 0.0000  2 Zr 2.88

Total magnetic moment: 0.00 μB per formula unit
Space-group type: Pm-3m (221)
Energy above the lowest structure with this stoichiometry: 0.163 eV per atom
Formation enthalpy at 0 K: -0.33 eV/atom

=====

(2)
DFT (PBE-GGA) results for a relaxed structure of LaF3.

Lattice parameters (Å, degrees): 4.1901 4.1901 7.3657 90.00 90.00 120.00
Closest atoms and distances in Å follow each position.
Fractional coordinates of all 8 atoms:
La 0.3333 0.6667 0.2500  5 F 2.42
La 0.6667 0.3333 0.7500  5 F 2.42
F 0.0000 0.0000 0.2500  3 La 2.42
F 0.0000 0.0000 0.7500  3 La 2.42
F 0.3333 0.6667 0.5788  1 La 2.42, 4 F 2.52-2.68
F 0.3333 0.6667 0.9212  1 La 2.42, 4 F 2.52-2.68
F 0.6667 0.3333 0.0788  1 La 2.42, 4 F 2.52-2.68
F 0.6667 0.3333 0.4212  1 La 2.42, 4 F 2.52-2.68

Total magnetic moment: 0.00 μB per formula unit
Space-group type: P6_3/mmc (194)
ΔE_f (raw): -401 kJ/mol of atoms

=====

What did the first record say?
DFT (PBE-GGA) results for a relaxed structure of BaZrBi3.

Lattice parameters (Å, degrees): 5.7560 5.7560 5.7560 90.00 90.00 90.00
Closest atoms and distances in Å follow each position.
Fractional coordinates of all 5 atoms:
Ba 0.0000 0.0000 0.0000  12 Bi 4.07
Zr 0.5000 0.5000 0.5000  6 Bi 2.88
Bi 0.0000 0.5000 0.5000  2 Zr 2.88
Bi 0.5000 0.0000 0.5000  2 Zr 2.88
Bi 0.5000 0.5000 0.0000  2 Zr 2.88

Total magnetic moment: 0.00 μB per formula unit
Space-group type: Pm-3m (221)
Energy above the lowest structure with this stoichiometry: 0.163 eV per atom
Formation enthalpy at 0 K: -0.33 eV/atom